VASP calculation (meta-GGA SCAN) on a PBEsol-optimized structure of Ba4Hf3S10.

Properties
Its raw formation energy is -205.8 kJ per mole of atoms. The space group is I4/mmm.

abc: 17.9576 17.9576 17.9576
angles: 164.21 164.21 22.41
Closest atoms and distances in Å follow each position.
Element x y z (fractional)
Ba  0.0676  0.0676  0.0000  12 S 3.43-3.52
Ba  0.1998  0.1998  0.0000  5 S 3.09-3.27
Ba  0.8002  0.8002  0.0000  5 S 3.09-3.27
Ba  0.9324  0.9324  0.0000  12 S 3.43-3.52
Hf  0.3575  0.3575  0.0000  6 S 2.47-2.54
Hf  0.5000  0.5000  0.0000  6 S 2.47-2.48
Hf  0.6425  0.6425  0.0000  6 S 2.47-2.54
S  0.0000  0.5000  0.5000  2 Hf 2.47
S  0.1387  0.6387  0.5000  2 Hf 2.47
S  0.2874  0.2874  0.0000  1 Hf 2.47
S  0.3613  0.8613  0.5000  2 Hf 2.47
S  0.4297  0.4297  0.0000  2 Hf 2.48-2.54
S  0.5000  0.0000  0.5000  2 Hf 2.47
S  0.5703  0.5703  0.0000  2 Hf 2.48-2.54
S  0.6387  0.1387  0.5000  2 Hf 2.47
S  0.7126  0.7126  0.0000  1 Hf 2.47
S  0.8613  0.3613  0.5000  2 Hf 2.47